# 1
K4InAs | PBE | relaxed

Structure (CIF):
```
data_K4InAs
_space_group_name_H-M_alt 'F -4 3 m'
_space_group_IT_number 216
_space_group_name_Hall 'F -4 2 3'
_cell_length_a 9.872
_cell_length_b 9.872
_cell_length_c 9.872
_cell_angle_alpha 90.00
_cell_angle_beta 90.00
_cell_angle_gamma 90.00
loop_
_atom_site_label
_atom_site_fract_x
_atom_site_fract_y
_atom_site_fract_z
_atom_site_occupancy
K1 0.123 0.123 0.123 1
In1 0.000 0.000 0.500 1
As1 0.250 0.250 0.750 1
```

# 2
# K2InAs2 PBE relaxed
# **Offset from the most stable computed form**: 0.0364 eV per atom
data_K2InAs2
_space_group_name_H-M_alt 'C 1 2/m 1'
_space_group_IT_number 12
_cell_length_a 14.194
_cell_length_b 6.552
_cell_length_c 9.793
_cell_angle_alpha 90.00
_cell_angle_beta 121.20
_cell_angle_gamma 90.00
loop_
_space_group_symop_operation_xyz
'x,y,z'
'-x,-y,-z'
'-x,y,-z'
'x,-y,z'
'x+1/2,y+1/2,z'
'-x+1/2,-y+1/2,-z'
'-x+1/2,y+1/2,-z'
'x+1/2,-y+1/2,z'
loop_
_atom_site_label
_atom_site_fract_x
_atom_site_fract_y
_atom_site_fract_z
_atom_site_occupancy
K1 0.157 0.000 0.010 1
K2 0.228 0.000 0.626 1
In1 0.013 0.500 0.677 1
As1 0.080 0.500 0.979 1
As2 0.170 0.500 0.605 1

# 3
K6InAs3 | PBE | relaxed

Structure (CIF):
```
data_K6InAs3
_space_group_name_H-M_alt 'P -1'
_space_group_IT_number 2
_cell_length_a 9.153
_cell_length_b 9.209
_cell_length_c 19.894
_cell_angle_alpha 94.45
_cell_angle_beta 94.72
_cell_angle_gamma 119.01
loop_
_space_group_symop_operation_xyz
'x,y,z'
'-x,-y,-z'
loop_
_atom_site_label
_atom_site_fract_x
_atom_site_fract_y
_atom_site_fract_z
_atom_site_occupancy
K1 0.029 0.339 0.069 1
K2 0.034 0.740 0.307 1
K3 0.109 0.089 0.197 1
K4 0.150 0.482 0.426 1
K5 0.212 0.934 0.695 1
K6 0.240 0.880 0.503 1
K7 0.286 0.028 0.051 1
K8 0.287 0.656 0.803 1
K9 0.303 0.284 0.543 1
K10 0.363 0.761 0.194 1
K11 0.372 0.630 0.998 1
K12 0.452 0.483 0.301 1
In1 0.287 0.286 0.875 1
In2 0.454 0.130 0.373 1
As1 0.014 0.314 0.882 1
As2 0.167 0.136 0.376 1
As3 0.246 0.596 0.618 1
As4 0.294 0.001 0.880 1
As5 0.421 0.431 0.129 1
As6 0.437 0.832 0.370 1
```

# 4
KIn2As | PBE | relaxed

Structure (CIF):
```
data_KIn2As
_space_group_name_H-M_alt 'I m m 2'
_space_group_IT_number 44
_cell_length_a 4.304
_cell_length_b 5.785
_cell_length_c 9.670
_cell_angle_alpha 90.00
_cell_angle_beta 90.00
_cell_angle_gamma 90.00
loop_
_space_group_symop_operation_xyz
'x,y,z'
'-x,-y,z'
'-x,y,z'
'x,-y,z'
'x+1/2,y+1/2,z+1/2'
'-x+1/2,-y+1/2,z+1/2'
'-x+1/2,y+1/2,z+1/2'
'x+1/2,-y+1/2,z+1/2'
loop_
_atom_site_label
_atom_site_fract_x
_atom_site_fract_y
_atom_site_fract_z
_atom_site_occupancy
K1 0.000 0.000 0.000 1
In1 0.000 0.000 0.561 1
In2 0.000 0.500 0.795 1
As1 0.000 0.500 0.237 1
```

# 5
KIn2As | PBE | relaxed

Structure (CIF):
```
data_KIn2As
_space_group_name_H-M_alt 'P 4/m m m'
_space_group_IT_number 123
_space_group_name_Hall '-P 4 2'
_cell_length_a 3.755
_cell_length_b 3.755
_cell_length_c 8.287
_cell_angle_alpha 90.00
_cell_angle_beta 90.00
_cell_angle_gamma 90.00
loop_
_atom_site_label
_atom_site_fract_x
_atom_site_fract_y
_atom_site_fract_z
_atom_site_occupancy
K1 0.000 0.000 0.000 1
In1 0.500 0.500 0.312 1
As1 0.000 0.000 0.500 1
```

# 6
# K2InAs PBE relaxed
# **Offset from the most stable computed form**: 0.1891 eV per atom
data_K2InAs
_space_group_name_H-M_alt 'P 4 m m'
_space_group_IT_number 99
_cell_length_a 3.935
_cell_length_b 3.935
_cell_length_c 9.942
_cell_angle_alpha 90.00
_cell_angle_beta 90.00
_cell_angle_gamma 90.00
loop_
_space_group_symop_operation_xyz
'x,y,z'
'-y,x,z'
'-x,-y,z'
'y,-x,z'
'-x,y,z'
'y,x,z'
'x,-y,z'
'-y,-x,z'
loop_
_atom_site_label
_atom_site_fract_x
_atom_site_fract_y
_atom_site_fract_z
_atom_site_occupancy
K1 0.000 0.000 0.000 1
K2 0.500 0.500 0.429 1
In1 0.500 0.500 0.765 1
As1 0.000 0.000 0.652 1

# 7
# K2In2As PBE relaxed
# **Offset from the most stable computed form**: 0.0744 eV per atom
data_K2In2As
_space_group_name_H-M_alt 'P 4/m b m'
_space_group_IT_number 127
_space_group_name_Hall '-P 4 2ab'
_cell_length_a 7.615
_cell_length_b 7.615
_cell_length_c 5.819
_cell_angle_alpha 90.00
_cell_angle_beta 90.00
_cell_angle_gamma 90.00
loop_
_atom_site_label
_atom_site_fract_x
_atom_site_fract_y
_atom_site_fract_z
_atom_site_occupancy
K1 0.184 0.316 0.000 1
In1 0.136 0.636 0.500 1
As1 0.000 0.000 0.500 1

# 8
KLiInAs2 | PBE | relaxed

Structure (CIF):
```
data_KLiInAs2
_space_group_name_H-M_alt 'C 1 2/m 1'
_space_group_IT_number 12
_cell_length_a 13.900
_cell_length_b 4.613
_cell_length_c 8.763
_cell_angle_alpha 90.00
_cell_angle_beta 112.18
_cell_angle_gamma 90.00
loop_
_space_group_symop_operation_xyz
'x,y,z'
'-x,-y,-z'
'-x,y,-z'
'x,-y,z'
'x+1/2,y+1/2,z'
'-x+1/2,-y+1/2,-z'
'-x+1/2,y+1/2,-z'
'x+1/2,-y+1/2,z'
loop_
_atom_site_label
_atom_site_fract_x
_atom_site_fract_y
_atom_site_fract_z
_atom_site_occupancy
K1 0.207 0.000 0.155 1
Li1 0.148 0.500 0.432 1
In1 0.014 0.000 0.703 1
As1 0.045 0.500 0.899 1
As2 0.160 0.000 0.576 1
```

# 9
KMgInAs | PBE | relaxed

Structure (CIF):
```
data_KMgInAs
_space_group_name_H-M_alt 'P 4 m m'
_space_group_IT_number 99
_cell_length_a 3.750
_cell_length_b 3.750
_cell_length_c 7.869
_cell_angle_alpha 90.00
_cell_angle_beta 90.00
_cell_angle_gamma 90.00
loop_
_space_group_symop_operation_xyz
'x,y,z'
'-y,x,z'
'-x,-y,z'
'y,-x,z'
'-x,y,z'
'y,x,z'
'x,-y,z'
'-y,-x,z'
loop_
_atom_site_label
_atom_site_fract_x
_atom_site_fract_y
_atom_site_fract_z
_atom_site_occupancy
K1 0.000 0.000 0.000 1
Mg1 0.000 0.000 0.424 1
In1 0.500 0.500 0.670 1
As1 0.500 0.500 0.313 1
```

# 10
KIn2MoAs | PBE | relaxed

Structure (CIF):
```
data_KIn2MoAs
_space_group_name_H-M_alt 'P 4/m m m'
_space_group_IT_number 123
_space_group_name_Hall '-P 4 2'
_cell_length_a 5.459
_cell_length_b 5.459
_cell_length_c 5.971
_cell_angle_alpha 90.00
_cell_angle_beta 90.00
_cell_angle_gamma 90.00
loop_
_atom_site_label
_atom_site_fract_x
_atom_site_fract_y
_atom_site_fract_z
_atom_site_occupancy
K1 0.000 0.000 0.000 1
In1 0.000 0.500 0.500 1
Mo1 0.500 0.500 0.000 1
As1 0.000 0.000 0.500 1
```

# 11
# KNaInAs2 PBE relaxed
# **Offset from the most stable computed form**: 1.0412 eV per atom
data_KNaInAs2
_space_group_name_H-M_alt 'P 4/m m m'
_space_group_IT_number 123
_space_group_name_Hall '-P 4 2'
_cell_length_a 5.671
_cell_length_b 5.671
_cell_length_c 5.242
_cell_angle_alpha 90.00
_cell_angle_beta 90.00
_cell_angle_gamma 90.00
loop_
_atom_site_label
_atom_site_fract_x
_atom_site_fract_y
_atom_site_fract_z
_atom_site_occupancy
K1 0.000 0.000 0.000 1
Na1 0.000 0.000 0.500 1
In1 0.500 0.500 0.500 1
As1 0.000 0.500 0.000 1

# 12
# KNaInAs2 PBE relaxed
# **Offset from the most stable computed form**: 0.0000 eV per atom
data_KNaInAs2
_space_group_name_H-M_alt 'C 1 2/m 1'
_space_group_IT_number 12
_cell_length_a 16.393
_cell_length_b 3.850
_cell_length_c 12.135
_cell_angle_alpha 90.00
_cell_angle_beta 126.31
_cell_angle_gamma 90.00
loop_
_space_group_symop_operation_xyz
'x,y,z'
'-x,-y,-z'
'-x,y,-z'
'x,-y,z'
'x+1/2,y+1/2,z'
'-x+1/2,-y+1/2,-z'
'-x+1/2,y+1/2,-z'
'x+1/2,-y+1/2,z'
loop_
_atom_site_label
_atom_site_fract_x
_atom_site_fract_y
_atom_site_fract_z
_atom_site_occupancy
K1 0.207 0.000 0.121 1
Na1 0.148 0.500 0.375 1
In1 0.039 0.000 0.672 1
As1 0.065 0.500 0.842 1
As2 0.153 0.000 0.577 1

no.,E_form (eV/atom)
1,0.29
2,-0.36
3,-0.43
4,-0.06
5,-0.12
6,-0.15
7,-0.12
8,-0.45
9,-0.28
10,1.04
11,0.75
12,-0.30